# 1
{
  "formula": "Zr2InIr",
  "functional": "PBE-GGA",
  "state": "optimized geometry",
  "delta_e_f_kj_per_mol_atoms": -45,
  "dos_at_fermi_per_ev_atom": 1.03,
  "spacegroup": "No. 10",
  "lattice_angstrom": [[3.153, 0.000, 0.000], [0.000, 3.964, 0.000], [-0.153, 0.000, 6.359]],
  "species": ["Zr", "Zr", "In", "Ir"],
  "fractional_positions": [[0.017, 0.000, 0.270], [0.983, 0.000, 0.730], [0.500, 0.500, 0.000], [0.500, 0.500, 0.500]]
}

=====

# 2
{
  "formula": "Zr6In3Ir",
  "functional": "PBE-GGA",
  "state": "optimized geometry",
  "delta_e_f_kj_per_mol_atoms": -17,
  "dos_at_fermi_per_ev_atom": 1.14,
  "spacegroup": "No. 14",
  "lattice_angstrom": [[5.383, 0.000, 0.000], [0.000, 8.345, 0.000], [-5.154, 0.000, 10.295]],
  "species": ["Zr", "Zr", "Zr", "Zr", "Zr", "Zr", "Zr", "Zr", "Zr", "Zr", "Zr", "Zr", "In", "In", "In", "In", "In", "In", "Ir", "Ir"],
  "fractional_positions": [[0.008, 0.160, 0.435], [0.008, 0.340, 0.935], [0.372, 0.692, 0.428], [0.372, 0.808, 0.928], [0.400, 0.050, 0.264], [0.400, 0.450, 0.764], [0.600, 0.550, 0.236], [0.600, 0.950, 0.736], [0.628, 0.192, 0.072], [0.628, 0.308, 0.572], [0.992, 0.660, 0.065], [0.992, 0.840, 0.565], [0.000, 0.000, 0.000], [0.000, 0.500, 0.500], [0.148, 0.122, 0.762], [0.148, 0.378, 0.262], [0.852, 0.622, 0.738], [0.852, 0.878, 0.238], [0.500, 0.000, 0.500], [0.500, 0.500, 0.000]]
}

=====

# 3
{
  "formula": "Zr2InIr",
  "functional": "PBE-GGA",
  "state": "optimized geometry",
  "delta_e_f_kj_per_mol_atoms": -45,
  "dos_at_fermi_per_ev_atom": 0.59,
  "spacegroup": "No. 38",
  "lattice_angstrom": [[4.377, 0.000, 0.000], [0.000, 1.739, 5.485], [0.000, -1.739, 5.485]],
  "species": ["Zr", "Zr", "In", "Ir"],
  "fractional_positions": [[0.000, 0.000, 0.000], [0.500, 0.309, 0.309], [0.500, 0.587, 0.587], [0.000, 0.761, 0.761]]
}

=====

# 4
{
  "formula": "Zr2InIr",
  "functional": "PBE-GGA",
  "state": "optimized geometry",
  "delta_e_f_kj_per_mol_atoms": -30,
  "dos_at_fermi_per_ev_atom": 1.15,
  "spacegroup": "No. 166",
  "lattice_angstrom": [[1.782, 1.029, 8.257], [-1.782, 1.029, 8.257], [0.000, -2.058, 8.257]],
  "species": ["Zr", "Zr", "In", "Ir"],
  "fractional_positions": [[0.235, 0.235, 0.235], [0.765, 0.765, 0.765], [0.000, 0.000, 0.000], [0.500, 0.500, 0.500]]
}

=====

# 5
{
  "formula": "Zr2InIr",
  "functional": "PBE-GGA",
  "state": "optimized geometry",
  "delta_e_f_kj_per_mol_atoms": -41,
  "dos_at_fermi_per_ev_atom": 1.03,
  "spacegroup": "No. 71",
  "lattice_angstrom": [[-2.006, 2.367, 4.221], [2.006, -2.367, 4.221], [2.006, 2.367, -4.221]],
  "species": ["Zr", "Zr", "In", "Ir"],
  "fractional_positions": [[0.228, 0.228, 0.000], [0.772, 0.772, 0.000], [0.500, 0.000, 0.500], [0.000, 0.500, 0.500]]
}

=====

# 6
{
  "formula": "ZrInIr",
  "functional": "PBE-GGA",
  "state": "optimized geometry",
  "delta_e_f_kj_per_mol_atoms": -35,
  "dos_at_fermi_per_ev_atom": 0.90,
  "spacegroup": "No. 44",
  "lattice_angstrom": [[-1.550, 2.035, 4.499], [1.550, -2.035, 4.499], [1.550, 2.035, -4.499]],
  "species": ["Zr", "In", "Ir"],
  "fractional_positions": [[0.000, 0.000, 0.000], [0.679, 0.679, 0.000], [0.339, 0.339, 0.000]]
}

=====

Table of V (Å³ per cell), in record order: 79.5 462.5 83.5 90.9 80.2 56.8